Record 1
Here is a relaxed PaTlPb2 crystal from Alexandria via LeMat-Bulk. Energies are from GGA-PBE.

Cell lengths 4.8548, 4.8548, 4.6450 Å; angles 90.00, 90.00, 90.00 degrees
Sites, in units of the cell vectors:
Pa 0.0000 0.0000 0.0000
Tl 0.5000 0.5000 0.0000
Pb 0.0000 0.5000 0.5000
Pb 0.5000 0.0000 0.5000

Uncorrected energy (eV for the cell shown): -19.230
DOS at the Fermi energy (states/eV/cell): 4.3
Distance to the lowest polymorph of the same formula (eV per atom): 0.000
Space-group type: P4/mmm (123)
Total magnetization (μB per formula unit): 0.0

=====

Record 2
Here is a relaxed PaTlPb2 crystal from Alexandria via LeMat-Bulk. Energies are from GGA-PBE.

Cell lengths 5.7156, 5.7156, 3.4960 Å; angles 90.00, 90.00, 90.00 degrees
Sites, in units of the cell vectors:
Pa 0.0000 0.0000 0.0000
Tl 0.5000 0.5000 0.0000
Pb 0.0000 0.5000 0.5000
Pb 0.5000 0.0000 0.5000

Uncorrected energy (eV for the cell shown): -18.911
DOS at the Fermi energy (states/eV/cell): 5.2
Distance to the lowest polymorph of the same formula (eV per atom): 0.080
Space-group type: P4/mmm (123)
Total magnetization (μB per formula unit): 0.7

=====

Record 3
Here is a relaxed PaTl2Pb crystal from Alexandria via LeMat-Bulk. Energies are from GGA-PBE.

Cell lengths 4.0041, 4.0041, 6.9885 Å; angles 90.00, 90.00, 90.00 degrees
Sites, in units of the cell vectors:
Pa 0.0000 0.0000 0.0000
Tl 0.5000 0.5000 0.2543
Tl 0.5000 0.5000 0.7457
Pb 0.0000 0.0000 0.5000

Uncorrected energy (eV for the cell shown): -16.865
DOS at the Fermi energy (states/eV/cell): 7.9
Distance to the lowest polymorph of the same formula (eV per atom): 0.060
Space-group type: P4/mmm (123)
Total magnetization (μB per formula unit): 1.5

=====

Record 4
Here is a relaxed PaTlPb2 crystal from Alexandria via LeMat-Bulk. Energies are from GGA-PBE.

Cell lengths 3.3228, 3.3228, 37.3193 Å; angles 90.00, 90.00, 120.00 degrees
Sites, in units of the cell vectors:
Pa 0.0000 0.0000 0.0000
Pa 0.3333 0.6667 0.6667
Pa 0.6667 0.3333 0.3333
Tl 0.0000 0.0000 0.5000
Tl 0.3333 0.6667 0.1667
Tl 0.6667 0.3333 0.8333
Pb 0.0000 0.0000 0.4105
Pb 0.0000 0.0000 0.5895
Pb 0.3333 0.6667 0.0772
Pb 0.3333 0.6667 0.2561
Pb 0.6667 0.3333 0.7439
Pb 0.6667 0.3333 0.9228

Uncorrected energy (eV for the cell shown): -56.836
DOS at the Fermi energy (states/eV/cell): 13.5
Distance to the lowest polymorph of the same formula (eV per atom): 0.071
Space-group type: R-3m (166)
Total magnetization (μB per formula unit): 0.0

=====

Record 5
Here is a relaxed PaTl2Pb crystal from Alexandria via LeMat-Bulk. Energies are from GGA-PBE.

Cell lengths 3.3337, 3.3337, 36.9708 Å; angles 90.00, 90.00, 120.00 degrees
Sites, in units of the cell vectors:
Pa 0.0000 0.0000 0.0000
Pa 0.3333 0.6667 0.6667
Pa 0.6667 0.3333 0.3333
Tl 0.0000 0.0000 0.0870
Tl 0.0000 0.0000 0.9130
Tl 0.3333 0.6667 0.5797
Tl 0.3333 0.6667 0.7536
Tl 0.6667 0.3333 0.2464
Tl 0.6667 0.3333 0.4203
Pb 0.0000 0.0000 0.5000
Pb 0.3333 0.6667 0.1667
Pb 0.6667 0.3333 0.8333

Uncorrected energy (eV for the cell shown): -50.100
DOS at the Fermi energy (states/eV/cell): 14.8
Distance to the lowest polymorph of the same formula (eV per atom): 0.101
Space-group type: R-3m (166)
Total magnetization (μB per formula unit): 0.1

=====

Record 6
Here is a relaxed PaTlPb2 crystal from Alexandria via LeMat-Bulk. Energies are from GGA-PBE.

Cell lengths 4.1791, 4.1791, 6.6752 Å; angles 90.00, 90.00, 90.00 degrees
Sites, in units of the cell vectors:
Pa 0.0000 0.0000 0.0000
Tl 0.0000 0.0000 0.5000
Pb 0.5000 0.5000 0.2384
Pb 0.5000 0.5000 0.7616

Uncorrected energy (eV for the cell shown): -18.646
DOS at the Fermi energy (states/eV/cell): 5.9
Distance to the lowest polymorph of the same formula (eV per atom): 0.146
Space-group type: P4/mmm (123)
Total magnetization (μB per formula unit): 1.3

=====

Record 7
Here is a relaxed PaTlPb crystal from Alexandria via LeMat-Bulk. Energies are from GGA-PBE.

Cell lengths 5.5102, 5.5102, 3.1495 Å; angles 90.00, 90.00, 120.00 degrees
Sites, in units of the cell vectors:
Pa 0.0000 0.0000 0.0000
Tl 0.6667 0.3333 0.4915
Pb 0.3333 0.6667 0.5061

Uncorrected energy (eV for the cell shown): -14.770
DOS at the Fermi energy (states/eV/cell): 5.9
Distance to the lowest polymorph of the same formula (eV per atom): 0.022
Space-group type: P3m1 (156)
Total magnetization (μB per formula unit): 1.4

=====

Record 8
Here is a relaxed PaTl2Pb crystal from Alexandria via LeMat-Bulk. Energies are from GGA-PBE.

Cell lengths 5.8113, 5.8113, 3.3318 Å; angles 90.00, 90.00, 90.00 degrees
Sites, in units of the cell vectors:
Pa 0.0000 0.0000 0.0000
Tl 0.0000 0.5000 0.5000
Tl 0.5000 0.0000 0.5000
Pb 0.5000 0.5000 0.0000

Uncorrected energy (eV for the cell shown): -17.105
DOS at the Fermi energy (states/eV/cell): 5.4
Distance to the lowest polymorph of the same formula (eV per atom): 0.000
Space-group type: P4/mmm (123)
Total magnetization (μB per formula unit): 0.0

=====

Record 9
Here is a relaxed TmPaTlPb crystal from Alexandria via LeMat-Bulk. Energies are from GGA-PBE.

Cell lengths 7.5970, 7.5970, 7.5970 Å; angles 90.00, 90.00, 90.00 degrees
Sites, in units of the cell vectors:
Tm 0.0000 0.0000 0.0000
Tm 0.0000 0.5000 0.5000
Tm 0.5000 0.0000 0.5000
Tm 0.5000 0.5000 0.0000
Pa 0.0000 0.0000 0.5000
Pa 0.0000 0.5000 0.0000
Pa 0.5000 0.0000 0.0000
Pa 0.5000 0.5000 0.5000
Tl 0.2500 0.2500 0.7500
Tl 0.2500 0.7500 0.2500
Tl 0.7500 0.2500 0.2500
Tl 0.7500 0.7500 0.7500
Pb 0.2500 0.2500 0.2500
Pb 0.2500 0.7500 0.7500
Pb 0.7500 0.2500 0.7500
Pb 0.7500 0.7500 0.2500

Uncorrected energy (eV for the cell shown): -79.770
DOS at the Fermi energy (states/eV/cell): 31.8
Space-group type: F-43m (216)
Total magnetization (μB per formula unit): 1.9

=====

Record 10
Here is a relaxed YPaTlPb crystal from Alexandria via LeMat-Bulk. Energies are from GGA-PBE.

Cell lengths 7.6425, 7.6425, 7.6425 Å; angles 90.00, 90.00, 90.00 degrees
Sites, in units of the cell vectors:
Y 0.0000 0.0000 0.0000
Y 0.0000 0.5000 0.5000
Y 0.5000 0.0000 0.5000
Y 0.5000 0.5000 0.0000
Pa 0.0000 0.0000 0.5000
Pa 0.0000 0.5000 0.0000
Pa 0.5000 0.0000 0.0000
Pa 0.5000 0.5000 0.5000
Tl 0.2500 0.2500 0.2500
Tl 0.2500 0.7500 0.7500
Tl 0.7500 0.2500 0.7500
Tl 0.7500 0.7500 0.2500
Pb 0.2500 0.2500 0.7500
Pb 0.2500 0.7500 0.2500
Pb 0.7500 0.2500 0.2500
Pb 0.7500 0.7500 0.7500

Uncorrected energy (eV for the cell shown): -88.311
DOS at the Fermi energy (states/eV/cell): 36.1
Space-group type: F-43m (216)
Total magnetization (μB per formula unit): 2.0

=====

Record 11
Here is a relaxed Tm2PaPb crystal from Alexandria via LeMat-Bulk. Energies are from GGA-PBE.

Cell lengths 3.5107, 3.5107, 9.0141 Å; angles 90.00, 90.00, 90.00 degrees
Sites, in units of the cell vectors:
Tm 0.0000 0.0000 0.2442
Tm 0.0000 0.0000 0.7558
Pa 0.5000 0.5000 0.5000
Pb 0.5000 0.5000 0.0000

Uncorrected energy (eV for the cell shown): -22.454
DOS at the Fermi energy (states/eV/cell): 6.2
Distance to the lowest polymorph of the same formula (eV per atom): 0.000
Space-group type: P4/mmm (123)
Total magnetization (μB per formula unit): 0.5

=====

Record 12
Here is a relaxed TmPaPb crystal from Alexandria via LeMat-Bulk. Energies are from GGA-PBE.

Cell lengths 3.9861, 3.9861, 10.4709 Å; angles 90.00, 90.00, 90.00 degrees
Sites, in units of the cell vectors:
Tm 0.0000 0.0000 0.0000
Tm 0.5000 0.5000 0.5000
Pa 0.0000 0.0000 0.6888
Pa 0.5000 0.5000 0.1888
Pb 0.0000 0.0000 0.3516
Pb 0.5000 0.5000 0.8516

Uncorrected energy (eV for the cell shown): -34.525
DOS at the Fermi energy (states/eV/cell): 10.4
Distance to the lowest polymorph of the same formula (eV per atom): 0.070
Space-group type: I4mm (107)
Total magnetization (μB per formula unit): 0.4

=====

Record 13
Here is a relaxed Tm2PaPb crystal from Alexandria via LeMat-Bulk. Energies are from GGA-PBE.

Cell lengths 3.4178, 3.4178, 35.1058 Å; angles 90.00, 90.00, 120.00 degrees
Sites, in units of the cell vectors:
Tm 0.0000 0.0000 0.0904
Tm 0.0000 0.0000 0.9096
Tm 0.3333 0.6667 0.5763
Tm 0.3333 0.6667 0.7570
Tm 0.6667 0.3333 0.2430
Tm 0.6667 0.3333 0.4237
Pa 0.0000 0.0000 0.5000
Pa 0.3333 0.6667 0.1667
Pa 0.6667 0.3333 0.8333
Pb 0.0000 0.0000 0.0000
Pb 0.3333 0.6667 0.6667
Pb 0.6667 0.3333 0.3333

Uncorrected energy (eV for the cell shown): -65.208
DOS at the Fermi energy (states/eV/cell): 14.4
Distance to the lowest polymorph of the same formula (eV per atom): 0.180
Space-group type: R-3m (166)
Total magnetization (μB per formula unit): 0.0

=====

Record 14
Here is a relaxed TmPaPb crystal from Alexandria via LeMat-Bulk. Energies are from GGA-PBE.

Cell lengths 4.0392, 4.0392, 10.1009 Å; angles 90.00, 90.00, 90.00 degrees
Sites, in units of the cell vectors:
Tm 0.2500 0.2500 0.2415
Tm 0.7500 0.7500 0.7585
Pa 0.2500 0.2500 0.5729
Pa 0.7500 0.7500 0.4271
Pb 0.2500 0.2500 0.9075
Pb 0.7500 0.7500 0.0925

Uncorrected energy (eV for the cell shown): -34.942
DOS at the Fermi energy (states/eV/cell): 11.9
Distance to the lowest polymorph of the same formula (eV per atom): 0.000
Space-group type: P4/nmm (129)
Total magnetization (μB per formula unit): 0.0

=====

Record 15
Here is a relaxed TmPa2Pb crystal from Alexandria via LeMat-Bulk. Energies are from GGA-PBE.

Cell lengths 3.2414, 3.2414, 35.9191 Å; angles 90.00, 90.00, 120.00 degrees
Sites, in units of the cell vectors:
Tm 0.0000 0.0000 0.0000
Tm 0.3333 0.6667 0.6667
Tm 0.6667 0.3333 0.3333
Pa 0.0000 0.0000 0.0864
Pa 0.0000 0.0000 0.9136
Pa 0.3333 0.6667 0.5803
Pa 0.3333 0.6667 0.7530
Pa 0.6667 0.3333 0.2470
Pa 0.6667 0.3333 0.4197
Pb 0.0000 0.0000 0.5000
Pb 0.3333 0.6667 0.1667
Pb 0.6667 0.3333 0.8333

Uncorrected energy (eV for the cell shown): -77.899
DOS at the Fermi energy (states/eV/cell): 22.8
Space-group type: R-3m (166)
Total magnetization (μB per formula unit): 0.0